12
Lattice="-2.4550 -0.5774 -5.1535 1.4419 -4.3630 -3.4357 -6.3272 -5.2385 2.8092" Properties=species:S:1:pos:R:3 comment="CsPaSi2O8, optimized geometry, DFT PBE" n_ef_per_ev_atom=0.491 dft_energy_ev_per_atom=-7.5821 spacegroup="C2/m, No. 12" raw_formation_energy_ev_per_atom=-2.510 pbc="T T T"
O -3.1716 -5.2845 -4.4510
O -4.8998 -7.4524 -0.8636
O -4.1687 -4.8944 -1.3290
O -1.7564 -4.7757 -6.5402
O -6.7324 -5.6721 -1.6714
O -5.5839 -5.4032 0.7601
O -2.4405 -2.7266 -4.9164
O -0.6080 -4.5068 -4.1086
Si -1.9692 -4.2926 -4.9927
Si -5.3711 -5.8863 -0.7873
Pa 0.0000 0.0000 0.0000
Cs -3.1636 -2.6192 1.4046